(1)
DFT (PBE) results for a relaxed Ca2TcIr crystal.

Distance to the lowest polymorph of the same formula (eV per atom): 0.3711
Energy relative to the elements (kJ per mole of atoms): 43

```
Ca2TcIr
1.0
5.5161 -0.0250 0.0235
-2.3656 4.9831 0.0235
0.5030 0.7916 2.8167
Tc Ca Ir
1 2 1
direct
0.0000 0.5000 0.5000
0.5000 0.5000 0.0000
0.0000 0.0000 0.0000
0.5000 0.0000 0.5000
```

***

(2)
DFT (PBE) results for a relaxed CaTcIr2 crystal.

Distance to the lowest polymorph of the same formula (eV per atom): 0.1997
Energy relative to the elements (kJ per mole of atoms): 10

```
CaTcIr2
1.0
-2.5613 -2.3943 3.0357
-0.8197 -1.7515 -2.0730
3.7385 -3.3904 0.4802
Ir Ca Tc
2 1 1
direct
0.0000 0.1645 0.9645
0.5000 0.1105 0.2970
0.5000 0.7098 0.8034
0.0000 0.5152 0.4351
```

***

(3)
DFT (PBE) results for a relaxed Ca2TcIr crystal.

Distance to the lowest polymorph of the same formula (eV per atom): 0.4384
Energy relative to the elements (kJ per mole of atoms): 50

```
Ca2TcIr
1.0
9.5702 -0.0104 -0.0061
9.0617 3.0780 -0.0061
9.0617 1.4919 2.6923
Tc Ir Ca
1 1 2
direct
0.7500 0.7500 0.7500
0.2500 0.2500 0.2500
0.5034 0.5034 0.5034
0.9966 0.9966 0.9966
```

***

(4)
DFT (PBE) results for a relaxed CaTc2Ir crystal.

Distance to the lowest polymorph of the same formula (eV per atom): 0.1102
Energy relative to the elements (kJ per mole of atoms): 30

```
CaTc2Ir
1.0
4.7957 -0.0037 -0.0050
3.9608 2.7039 -0.0050
0.8652 0.2668 5.4792
Ir Tc Ca
1 2 1
direct
0.2663 0.2663 0.2089
0.9964 0.9964 0.9799
0.7312 0.7312 0.8280
0.5060 0.5060 0.4833
```

***

(5)
DFT (PBE) results for a relaxed CaTcIr2 crystal.

Distance to the lowest polymorph of the same formula (eV per atom): 0.3417
Energy relative to the elements (kJ per mole of atoms): 24

```
CaTcIr2
1.0
-2.5622 -8.9526 -0.9863
-1.0074 -9.2011 1.4189
-3.7717 -8.4263 1.5679
Tc Ir Ca
1 2 1
direct
0.2500 0.2500 0.2500
0.9930 0.9930 0.9930
0.5070 0.5070 0.5070
0.7500 0.7500 0.7500
```

***

(6)
DFT (PBE) results for a relaxed Ca2TcIr crystal.

Distance to the lowest polymorph of the same formula (eV per atom): 0.4311
Energy relative to the elements (kJ per mole of atoms): 49

```
Ca2TcIr
1.0
10.3437 0.0000 0.0000
0.0000 10.3437 0.0000
5.1718 5.1718 2.3759
Ca Tc Ir
4 2 2
direct
0.9676 0.6250 0.2500
0.8750 0.0324 0.7500
0.3750 0.2176 0.7500
0.7824 0.1250 0.2500
0.5000 0.5000 0.0000
0.2500 0.7500 0.5000
0.0000 0.0000 0.0000
0.7500 0.2500 0.5000
```

***

(7)
DFT (PBE) results for a relaxed CaTc2Ir crystal.

Distance to the lowest polymorph of the same formula (eV per atom): 0.0258
Energy relative to the elements (kJ per mole of atoms): 22

```
CaTc2Ir
1.0
-3.1704 3.5133 3.6019
-4.8648 3.1249 1.3915
-2.9853 -2.3703 2.7051
Ir Tc Ca
1 2 1
direct
0.2500 0.2500 0.2500
0.9638 0.9638 0.0367
0.5362 0.5362 0.4633
0.7500 0.7500 0.7500
```

***

(8)
DFT (PBE) results for a relaxed CaTc2Ir crystal.

Distance to the lowest polymorph of the same formula (eV per atom): 0.0000
Energy relative to the elements (kJ per mole of atoms): 19

```
CaTc2Ir
1.0
2.9951 0.0000 0.0000
0.0000 2.9951 0.0000
0.0000 0.0000 7.8243
Ca Ir Tc
1 1 2
direct
0.0000 0.0000 0.5103
0.5000 0.5000 0.7845
0.5000 0.5000 0.1942
0.0000 0.0000 0.0111
```

***

(9)
DFT (PBE) results for a relaxed Ca2TcIr crystal.

Distance to the lowest polymorph of the same formula (eV per atom): 0.0000
Energy relative to the elements (kJ per mole of atoms): 7

```
Ca2TcIr
1.0
-3.6453 1.7944 -1.1532
0.2299 -2.1514 -4.0746
-2.4984 -5.1063 -0.0480
Ca Tc Ir
2 1 1
direct
0.5000 0.2650 0.3443
0.0000 0.9836 0.9083
0.5000 0.5745 0.7270
0.0000 0.6769 0.5205
```

***

(10)
DFT (PBE) results for a relaxed Ca2TcIr crystal.

Distance to the lowest polymorph of the same formula (eV per atom): 0.3727
Energy relative to the elements (kJ per mole of atoms): 43

```
Ca2TcIr
1.0
-2.2916 3.1151 -2.6614
-2.3165 -0.1375 1.8338
1.4047 4.0944 3.5829
Ir Ca Tc
1 2 1
direct
0.5000 0.2500 0.2500
0.0000 0.0114 0.0041
0.0000 0.4886 0.4959
0.5000 0.7500 0.7500
```

***

(11)
DFT (PBE) results for a relaxed Ca2TcIr crystal.

Distance to the lowest polymorph of the same formula (eV per atom): 0.4174
Energy relative to the elements (kJ per mole of atoms): 48

```
Ca2TcIr
1.0
4.8303 0.0000 0.0000
0.0000 4.8303 0.0000
0.0000 0.0000 3.5622
Ca Tc Ir
2 1 1
direct
0.5000 0.5000 0.0000
0.0000 0.0000 0.0000
0.0000 0.5000 0.5000
0.5000 0.0000 0.5000
```

***

(12)
DFT (PBE) results for a relaxed CaTcIr2 crystal.

Distance to the lowest polymorph of the same formula (eV per atom): 0.2841
Energy relative to the elements (kJ per mole of atoms): 18

```
CaTcIr2
1.0
4.8161 0.0000 0.0000
0.0000 4.8161 0.0000
0.0000 0.0000 2.8502
Ir Tc Ca
2 1 1
direct
0.5000 0.5000 0.0000
0.0000 0.0000 0.0000
0.5000 0.0000 0.5000
0.0000 0.5000 0.5000
```

***

(13)
DFT (PBE) results for a relaxed CaTcIr4 crystal.

Energy relative to the elements (kJ per mole of atoms): 15

```
CaTcIr4
1.0
0.0000 3.7080 3.7080
3.7080 0.0000 3.7080
3.7080 3.7080 0.0000
Ir Tc Ca
4 1 1
direct
0.3752 0.3752 0.8745
0.8745 0.3752 0.3752
0.3752 0.3752 0.3752
0.3752 0.8745 0.3752
0.7500 0.7500 0.7500
0.0000 0.0000 0.0000
```

***

(14)
DFT (PBE) results for a relaxed CaTc2Ir crystal.

Distance to the lowest polymorph of the same formula (eV per atom): 0.2219
Energy relative to the elements (kJ per mole of atoms): 41

```
CaTc2Ir
1.0
-5.2596 -0.6125 -0.1184
2.3222 -0.7611 4.7654
-0.9423 2.2530 1.2486
Tc Ir Ca
2 1 1
direct
0.5000 0.0000 0.5000
0.0000 0.0000 0.0000
0.5000 0.5000 0.0000
0.0000 0.5000 0.5000
```

***

(15)
DFT (PBE) results for a relaxed CaTc2Ir crystal.

Distance to the lowest polymorph of the same formula (eV per atom): 0.2781
Energy relative to the elements (kJ per mole of atoms): 46

```
CaTc2Ir
1.0
5.2408 -0.0003 0.0000
2.3891 4.6646 0.0000
-3.8150 -2.3322 2.7337
Tc Ca Ir
2 1 1
direct
0.0000 0.0000 0.0000
0.5000 0.5000 0.0000
0.2500 0.7500 0.5000
0.7500 0.2500 0.5000
```

***

(16)
DFT (PBE) results for a relaxed CaTc2Ir crystal.

Distance to the lowest polymorph of the same formula (eV per atom): 0.3015
Energy relative to the elements (kJ per mole of atoms): 48

```
CaTc2Ir
1.0
9.7567 -0.0112 -0.0065
9.3491 2.7904 -0.0065
9.3491 1.3600 2.4366
Ca Tc Ir
1 2 1
direct
0.2500 0.2500 0.2500
0.0087 0.0087 0.0087
0.4913 0.4913 0.4913
0.7500 0.7500 0.7500
```

***

(17)
DFT (PBE) results for a relaxed Ca2TcIr crystal.

Distance to the lowest polymorph of the same formula (eV per atom): 0.1137
Energy relative to the elements (kJ per mole of atoms): 18

```
Ca2TcIr
1.0
-3.8654 -4.4167 0.3223
-2.4632 -4.4442 2.9553
-4.4973 1.6467 2.4124
Ca Tc Ir
2 1 1
direct
0.0208 0.0208 0.9419
0.2200 0.2200 0.3232
0.7917 0.7917 0.7705
0.4674 0.4674 0.4644
```

***

(18)
DFT (PBE) results for a relaxed CaTcIr2 crystal.

Distance to the lowest polymorph of the same formula (eV per atom): 0.0000
Energy relative to the elements (kJ per mole of atoms): -9

```
CaTcIr2
1.0
2.8629 0.0000 0.0000
0.0000 2.8629 0.0000
0.0000 0.0000 8.1754
Ir Ca Tc
2 1 1
direct
0.0000 0.0000 0.0359
0.0000 0.0000 0.4641
0.5000 0.5000 0.7500
0.5000 0.5000 0.2500
```

***

(19)
DFT (PBE) results for a relaxed CaTcIr crystal.

Distance to the lowest polymorph of the same formula (eV per atom): 0.1193
Energy relative to the elements (kJ per mole of atoms): -3

```
CaTcIr
1.0
-4.5868 -2.5618 -2.6204
0.3982 -5.1375 1.5203
-2.3382 0.7989 3.3124
Tc Ca Ir
2 2 2
direct
0.1305 0.6591 0.7950
0.0114 0.4454 0.2950
0.4980 0.8252 0.2949
0.6439 0.2792 0.7948
0.9848 0.9442 0.2949
0.1570 0.1603 0.7950
```

***

(20)
DFT (PBE) results for a relaxed CaTcIr crystal.

Distance to the lowest polymorph of the same formula (eV per atom): 0.2549
Energy relative to the elements (kJ per mole of atoms): 10

```
CaTcIr
1.0
-0.7734 3.4190 -3.7606
-4.1903 -2.3887 -2.4326
-0.9691 3.9898 2.9359
Ir Ca Tc
2 2 2
direct
0.9794 0.3920 0.7738
0.3937 0.9488 0.4781
0.9101 0.7415 0.4766
0.1187 0.0206 0.0633
0.5157 0.4430 0.0423
0.4935 0.3913 0.4966
```

***

(21)
DFT (PBE) results for a relaxed Ca2TcIr crystal.

Distance to the lowest polymorph of the same formula (eV per atom): 0.4428
Energy relative to the elements (kJ per mole of atoms): 50

```
Ca2TcIr
1.0
-4.8129 -0.6561 0.6601
-3.1034 3.7252 -0.7227
-3.0205 -0.0400 -3.8608
Ir Ca Tc
1 2 1
direct
0.5000 0.5000 0.5000
0.2500 0.2500 0.2500
0.7500 0.7500 0.7500
0.0000 0.0000 0.0000
```

***

(22)
DFT (PBE) results for a relaxed CaTcIr crystal.

Distance to the lowest polymorph of the same formula (eV per atom): 0.3068
Energy relative to the elements (kJ per mole of atoms): 15

```
CaTcIr
1.0
-2.0037 0.0081 6.4736
-0.3737 -2.4209 6.3184
2.2010 1.3911 1.3423
Ir Tc Ca
1 1 1
direct
0.3135 0.3135 0.6865
0.6922 0.6922 0.3078
0.9943 0.9943 0.0057
```

***

(23)
DFT (PBE) results for a relaxed CaTeIr crystal.

Formation energy from raw total energies (eV per atom): -0.60
Distance to the lowest polymorph of the same formula (eV per atom): 0.0000

```
CaTeIr
1.0
4.4622 0.0000 0.0000
-2.2311 3.8644 0.0000
0.0000 0.0000 4.1992
Ir Ca Te
1 1 1
direct
0.6667 0.3333 0.4999
0.0000 0.0000 0.9999
0.3333 0.6667 0.5002
```

***

(24)
DFT (PBE) results for a relaxed Ca2TeIr crystal.

Formation energy from raw total energies (eV per atom): -0.28

```
Ca2TeIr
1.0
5.0510 0.0000 0.0000
2.5255 4.3743 0.0000
2.5255 1.4581 4.1241
Te Ca Ir
1 2 1
direct
0.7500 0.7500 0.7500
0.0000 0.0000 0.0000
0.2500 0.2500 0.2500
0.5000 0.5000 0.5000
```

***

(25)
DFT (PBE) results for a relaxed CaTeIr2 crystal.

Formation energy from raw total energies (eV per atom): 0.09

```
CaTeIr2
1.0
-4.2950 -2.3872 -0.5642
-2.9574 -2.0595 -3.3876
1.7136 -4.9867 0.2330
Te Ir Ca
1 2 1
direct
0.7500 0.7500 0.7500
0.0045 0.0045 0.9711
0.4955 0.4955 0.5289
0.2500 0.2500 0.2500
```

***

(26)
DFT (PBE) results for a relaxed CaTeIr crystal.

Formation energy from raw total energies (eV per atom): 0.28
Distance to the lowest polymorph of the same formula (eV per atom): 0.8732

```
CaTeIr
1.0
4.7738 0.0000 0.0000
2.3869 4.1343 0.0000
2.3869 1.3781 3.8978
Ir Te Ca
1 1 1
direct
0.0000 0.0000 0.0000
0.5000 0.5000 0.5000
0.7500 0.7500 0.7500
```

***

(27)
DFT (PBE) results for a relaxed CaTeIr crystal.

Formation energy from raw total energies (eV per atom): -0.23
Distance to the lowest polymorph of the same formula (eV per atom): 0.3685

```
CaTeIr
1.0
5.8339 -0.0637 0.0000
3.5318 4.6438 0.0000
-4.6829 -2.2901 2.6201
Ca Ir Te
1 1 1
direct
0.9999 0.9999 0.0000
0.2881 0.2881 0.0000
0.7121 0.7121 0.0000
```

***

(28)
DFT (PBE) results for a relaxed CaTeIr3 crystal.

Formation energy from raw total energies (eV per atom): 2.13
Distance to the lowest polymorph of the same formula (eV per atom): 1.2914

```
CaTeIr3
1.0
4.8528 0.0000 0.0000
0.0000 4.8528 0.0000
0.0000 0.0000 4.8528
Ir Ca Te
3 1 1
direct
0.0000 0.5000 0.0000
0.0000 0.0000 0.5000
0.5000 0.0000 0.0000
0.0000 0.0000 0.0000
0.5000 0.5000 0.5000
```

***

(29)
DFT (PBE) results for a relaxed Ca4TeIr crystal.

Formation energy from raw total energies (eV per atom): 0.35

```
Ca4TeIr
1.0
0.0000 4.3977 4.3977
4.3977 0.0000 4.3977
4.3977 4.3977 0.0000
Te Ca Ir
1 4 1
direct
0.0000 0.0000 0.0000
0.3759 0.3759 0.3759
0.3759 0.3759 0.8722
0.8722 0.3759 0.3759
0.3759 0.8722 0.3759
0.7500 0.7500 0.7500
```

***

(30)
DFT (PBE) results for a relaxed CaTeIr3 crystal.

Formation energy from raw total energies (eV per atom): 0.84
Distance to the lowest polymorph of the same formula (eV per atom): 0.0000

```
CaTeIr3
1.0
-1.4383 2.3337 -4.0637
-4.6772 -0.4524 1.3957
0.2894 4.2869 2.3594
Ca Te Ir
1 1 3
direct
0.5000 0.5000 0.5000
0.0000 0.0000 0.0000
0.0000 0.0000 0.5000
0.5000 0.0000 0.0000
0.0000 0.5000 0.0000
```